Entry P
Compound: LiLaZn
Source: Alexandria
Functional: PBE-GGA
Structure: optimized geometry

Geometry as extended XYZ:
```
12
Lattice="7.076 0.000 0.000 0.000 7.076 0.000 0.000 0.000 7.076" Properties=species:S:1:pos:R:3 pbc="T T T"
Li 0.000 0.000 0.000
Li 0.000 3.538 3.538
Li 3.538 0.000 3.538
Li 3.538 3.538 0.000
La 1.769 1.769 5.307
La 1.769 5.307 1.769
La 5.307 1.769 1.769
La 5.307 5.307 5.307
Zn 0.000 0.000 3.538
Zn 0.000 3.538 0.000
Zn 3.538 0.000 0.000
Zn 3.538 3.538 3.538
```



Entry Q
Compound: LiLaZn
Source: Alexandria
Functional: PBE-GGA
Structure: optimized geometry

Geometry as extended XYZ:
```
12
Lattice="6.957 0.000 0.000 0.000 6.957 0.000 0.000 0.000 6.957" Properties=species:S:1:pos:R:3 pbc="T T T"
Li 0.000 0.000 0.000
Li 0.000 3.478 3.478
Li 3.478 0.000 3.478
Li 3.478 3.478 0.000
La 0.000 0.000 3.478
La 0.000 3.478 0.000
La 3.478 0.000 0.000
La 3.478 3.478 3.478
Zn 1.739 1.739 1.739
Zn 1.739 5.217 5.217
Zn 5.217 1.739 5.217
Zn 5.217 5.217 1.739
```



The structure with the most favorable energy is entry Q; the runner-up is 34.2 kJ/mol of atoms above it.